Record 1
Compound: CaB6Rh12
Source: Alexandria via LeMat-Bulk
Functional: GGA-PBE
Structure: optimized geometry

Computed properties:
For the formation enthalpy at 0 K, the calculation gives -0.34 eV/atom. The space group is No. 166. As for the final energy: -7.192 eV per atom. The calculation puts the mass density at 9.1 g/cm³.

Structure (POSCAR):
```
CaB6Rh12
1.0
5.1232 2.9579 2.6879
-5.1232 2.9579 2.6879
0.0000 -5.9158 2.6879
Ca B Rh
1 6 12
direct
0.0000 0.0000 0.0000
0.2347 0.2347 0.6712
0.2347 0.6712 0.2347
0.3288 0.7653 0.7653
0.6712 0.2347 0.2347
0.7653 0.3288 0.7653
0.7653 0.7653 0.3288
0.1332 0.5000 0.8668
0.1332 0.8668 0.5000
0.1861 0.4517 0.4517
0.4517 0.1861 0.4517
0.4517 0.4517 0.1861
0.5000 0.1332 0.8668
0.5000 0.8668 0.1332
0.5483 0.5483 0.8139
0.5483 0.8139 0.5483
0.8139 0.5483 0.5483
0.8668 0.1332 0.5000
0.8668 0.5000 0.1332
```

Record 2
Compound: CsBiS
Source: Alexandria via LeMat-Bulk
Functional: GGA-PBE
Structure: optimized geometry

Computed properties:
The space group is No. 166. As for the final energy: -3.481 eV per atom. The formation energy (no corrections) is -527 meV/atom. The calculation puts the mass density at 5.5 g/cm³.

Structure (POSCAR):
```
CsBiS
1.0
3.7449 2.1621 13.9800
-3.7449 2.1621 13.9800
0.0000 -4.3243 13.9800
Cs Bi S
6 6 6
direct
0.0551 0.0551 0.0551
0.1731 0.1731 0.1731
0.2557 0.2557 0.2557
0.7443 0.7443 0.7443
0.8269 0.8269 0.8269
0.9449 0.9449 0.9449
0.0000 0.5000 0.5000
0.4138 0.4138 0.4138
0.5000 0.0000 0.5000
0.5000 0.5000 0.0000
0.5000 0.5000 0.5000
0.5862 0.5862 0.5862
0.2289 0.7086 0.7086
0.2914 0.2914 0.7711
0.2914 0.7711 0.2914
0.7086 0.2289 0.7086
0.7086 0.7086 0.2289
0.7711 0.2914 0.2914
```

Record 3
Compound: ZrFeB
Source: Alexandria via LeMat-Bulk
Functional: GGA-PBE
Structure: optimized geometry

Computed properties:
For the formation enthalpy at 0 K, the calculation gives -0.16 eV/atom. The space group is No. 42. As for the final energy: -8.061 eV per atom. The calculation puts the mass density at 6.7 g/cm³.

Structure (POSCAR):
```
ZrFeB
1.0
0.0000 4.7719 2.6440
3.0832 0.0000 2.6440
3.0832 4.7719 0.0000
Zr Fe B
2 2 2
direct
0.2500 0.7500 0.2500
0.7500 0.2500 0.7500
0.0507 0.4524 0.9493
0.4524 0.0507 0.5476
0.5862 0.5862 0.4138
0.9179 0.9179 0.0821
```